DFT (PBE-GGA) results for a relaxed structure of Th8HC4S3. Values from VASP.

Quantum ESPRESSO input file:
```
&SYSTEM
  ibrav = 0, nat = 16, ntyp = 4
/
ATOMIC_SPECIES
Th 232.04 Th.upf
H 1.01 H.upf
C 12.01 C.upf
S 32.06 S.upf
ATOMIC_POSITIONS crystal
Th 0.236 0.740 0.740
Th 0.238 0.238 0.238
Th 0.260 0.260 0.764
Th 0.260 0.764 0.260
Th 0.740 0.236 0.740
Th 0.740 0.740 0.236
Th 0.762 0.762 0.762
Th 0.764 0.260 0.260
H 0.000 0.000 0.000
C 0.000 0.000 0.500
C 0.000 0.500 0.000
C 0.500 0.000 0.000
C 0.500 0.500 0.500
S 0.000 0.500 0.500
S 0.500 0.000 0.500
S 0.500 0.500 0.000
CELL_PARAMETERS angstrom
3.828 2.210 6.599
-3.828 2.210 6.599
0.000 -4.421 6.599
```

Summary:
- Crystal system: trigonal
- Electronic total energy: -0.58640 Ry/atom
- SG: R-3m (166)
- M_tot: 0.0 μB per cell